Here is a relaxed LiNd3Er3Te8 crystal from the Alexandria database. Energies are from PBE.

```
LiNd3Er3Te8
1.0
4.377 2.527 7.215
-4.377 2.527 7.215
0.000 -5.054 7.215
Li Nd Er Te
1 3 3 8
Direct
0.000 0.000 0.000 Li
0.000 0.000 0.500 Nd
0.000 0.500 0.000 Nd
0.500 0.000 0.000 Nd
0.000 0.500 0.500 Er
0.500 0.000 0.500 Er
0.500 0.500 0.000 Er
0.248 0.248 0.742 Te
0.248 0.742 0.248 Te
0.254 0.254 0.254 Te
0.258 0.752 0.752 Te
0.742 0.248 0.248 Te
0.746 0.746 0.746 Te
0.752 0.258 0.752 Te
0.752 0.752 0.258 Te
```

Properties
N(E_F): 0.31 states/eV per atom
Total energy: -75.20 eV per cell
Energy relative to the elements, uncorrected: -1344 meV per atom

---

Here is a relaxed K3Ac2PmSe6 crystal from the Alexandria database. Energies are from PBE.

```
K3Ac2PmSe6
1.0
10.087 -2.247 0.000
10.087 2.247 0.000
-2.566 0.000 8.952
K Ac Pm Se
3 2 1 6
Direct
0.000 0.000 0.000 K
0.334 0.334 0.667 K
0.666 0.666 0.333 K
0.335 0.335 0.171 Ac
0.665 0.665 0.829 Ac
0.000 0.000 0.500 Pm
0.154 0.154 0.593 Se
0.173 0.173 0.067 Se
0.495 0.495 0.282 Se
0.505 0.505 0.718 Se
0.827 0.827 0.933 Se
0.846 0.846 0.407 Se
```

Properties
N(E_F): 0.00 states/eV per atom
Total energy: -58.65 eV per cell
Energy relative to the elements, uncorrected: -1790 meV per atom

---

Here is a relaxed Ta2TiMn2 crystal from the Alexandria database. Energies are from PBE.

```
Ta2TiMn2
1.0
6.968 0.000 0.000
0.000 6.968 0.000
0.000 0.000 3.153
Ta Ti Mn
4 2 4
Direct
0.162 0.338 0.000 Ta
0.338 0.838 0.000 Ta
0.662 0.162 0.000 Ta
0.838 0.662 0.000 Ta
0.000 0.000 0.500 Ti
0.500 0.500 0.500 Ti
0.137 0.637 0.500 Mn
0.363 0.137 0.500 Mn
0.637 0.863 0.500 Mn
0.863 0.363 0.500 Mn
```

Properties
N(E_F): 1.33 states/eV per atom
Total energy: -98.89 eV per cell
DFT formation energy: 0.0991 eV/atom

---

Here is a relaxed Zr2RuO crystal from the Alexandria database. Energies are from PBE.

```
Zr2RuO
1.0
3.022 0.000 0.000
0.000 3.022 0.000
0.000 0.000 6.689
Zr Ru O
2 1 1
Direct
0.000 0.000 0.235 Zr
0.000 0.000 0.765 Zr
0.500 0.500 0.500 Ru
0.500 0.500 0.000 O
```

Properties
N(E_F): 0.89 states/eV per atom
Total energy: -35.29 eV per cell
Energy relative to the elements, uncorrected: -991 meV per atom